Entry 1:
The following is a DFT calculation (PBE) of Li2PmSn3 after structural relaxation.

It has space group Cmmm (No. 65), with a = 4.576 Å, b = 13.705 Å, c = 4.511 Å, α = 90.00°, β = 90.00° and γ = 90.00°. The asymmetric unit holds Li at (0.000, 0.186, 0.000), Pm at (0.000, 0.500, 0.000), Sn at (0.000, 0.000, 0.500) and Sn at (0.000, 0.328, 0.500).

The energy above the lowest structure with this stoichiometry comes out at 0.0 kJ per mole of atoms. As for the crystal system: orthorhombic. The mass density is 6.05 g/cm3. The density of states at the Fermi level comes out at 2.251 states/eV/f.u. The calculation puts the formation enthalpy at 0 K at -0.4838 eV/atom.

---

Entry 2:
The following is a DFT calculation (PBE) of Sc3P3Ir after structural relaxation.

It has space group P6_3/m (No. 176), with a = 7.7822 Å, b = 7.7822 Å, c = 5.2064 Å, α = 90.00°, β = 90.00° and γ = 120.00°. The asymmetric unit holds Sc at (0.0661, 0.6900, 0.2500), P at (0.0577, 0.7055, 0.7500) and Ir at (0.3333, 0.6667, 0.7500).

As for the crystal system: hexagonal. The mass density is 5.11 g/cm3. The density of states at the Fermi level comes out at 4.700 states/eV/f.u. The calculation puts the formation enthalpy at 0 K at -1.0850 eV/atom.

---

Entry 3:
The following is a DFT calculation (PBE) of Nb2HWAu after structural relaxation.

It has space group P4/mmm (No. 123), with a = 4.214 Å, b = 4.214 Å, c = 4.016 Å, α = 90.00°, β = 90.00° and γ = 90.00°. The asymmetric unit holds Nb at (0.000, 0.500, 0.000), H at (0.000, 0.000, 0.000), W at (0.000, 0.000, 0.500) and Au at (0.500, 0.500, 0.500).

As for the crystal system: tetragonal. The mass density is 13.22 g/cm3. The density of states at the Fermi level comes out at 3.838 states/eV/f.u. The calculation puts the energy at -7.94 eV/atom.

---

Entry 4:
The following is a DFT calculation (PBE) of Zr4In2Hg3 after structural relaxation.

It has space group C2/m (No. 12), with a = 9.778 Å, b = 4.304 Å, c = 9.794 Å, α = 90.00°, β = 105.40° and γ = 90.00°. The asymmetric unit holds Zr at (0.002, 0.000, 0.170), Zr at (0.167, 0.500, 0.389), In at (0.161, 0.500, 0.714), Hg at (0.000, 0.000, 0.500) and Hg at (0.168, 0.500, 0.062).

As for the crystal system: monoclinic. The mass density is 10.00 g/cm3. The density of states at the Fermi level comes out at 6.738 states/eV/f.u. The calculation puts the formation enthalpy at 0 K at -0.1532 eV/atom.

---

Entry 5:
The following is a DFT calculation (PBE) of DyYCuNi after structural relaxation.

It has space group Amm2 (No. 38), with a = 4.387 Å, b = 3.713 Å, c = 10.252 Å, α = 90.00°, β = 90.00° and γ = 90.00°. The asymmetric unit holds Dy at (0.000, 0.000, 0.000), Y at (0.500, 0.000, 0.278), Cu at (0.000, 0.000, 0.710) and Ni at (0.500, 0.000, 0.566).

The energy above the lowest structure with this stoichiometry comes out at 0.0 kJ per mole of atoms. As for the crystal system: orthorhombic. The mass density is 7.43 g/cm3. The density of states at the Fermi level comes out at 2.683 states/eV/f.u. The calculation puts the formation enthalpy at 0 K at -0.3561 eV/atom.

---

Entry 6:
The following is a DFT calculation (PBE) of MnSbH2Pd after structural relaxation.

It has space group P4/mmm (No. 123), with a = 3.707 Å, b = 3.707 Å, c = 5.455 Å, α = 90.00°, β = 90.00° and γ = 90.00°. The asymmetric unit holds Mn at (0.000, 0.000, 0.000), Sb at (0.500, 0.500, 0.000), H at (0.000, 0.500, 0.500) and Pd at (0.500, 0.500, 0.500).

As for the crystal system: tetragonal. The mass density is 6.32 g/cm3. The density of states at the Fermi level comes out at 1.411 states/eV/f.u. The calculation puts the energy at -4.78 eV/atom.

---

Entry 7:
The following is a DFT calculation (PBE) of LaAl2ZnPt4 after structural relaxation.

It has space group R-3m (No. 166, hexagonal axes), with a = 4.2880 Å, b = 4.2880 Å, c = 27.0388 Å, α = 90.00°, β = 90.00° and γ = 120.00°. The asymmetric unit holds La at (0.0000, 0.0000, 0.0000), Al at (0.0000, 0.0000, 0.2365), Zn at (0.0000, 0.0000, 0.5000), Pt at (0.0000, 0.0000, 0.1342) and Pt at (0.0000, 0.0000, 0.4046).

As for the crystal system: trigonal. The mass density is 12.02 g/cm3. The density of states at the Fermi level comes out at 2.590 states/eV/f.u. The calculation puts the formation enthalpy at 0 K at -0.9704 eV/atom.

---

Entry 8:
The following is a DFT calculation (PBE) of Sc2ZnAu after structural relaxation.

It has space group R-3m (No. 166, hexagonal axes), with a = 3.4573 Å, b = 3.4573 Å, c = 24.5984 Å, α = 90.00°, β = 90.00° and γ = 120.00°. The asymmetric unit holds Sc at (0.0000, 0.0000, 0.2485), Zn at (0.0000, 0.0000, 0.0000) and Au at (0.0000, 0.0000, 0.5000).

As for the crystal system: trigonal. The mass density is 6.89 g/cm3. The density of states at the Fermi level comes out at 3.703 states/eV/f.u. The calculation puts the formation enthalpy at 0 K at -0.3391 eV/atom.